No. 1
# RbSrNbN2

A relaxed RbSrNbN2 crystal (PBEsol, Alexandria via LeMat-Bulk).

Lattice parameters (Å, degrees): 4.2642 4.2642 5.2374 90.00 90.00 90.00
Fractional coordinates of all 5 atoms:
Sr  0.5000  0.5000  0.5000
Nb  0.0000  0.0000  0.0000
Rb  0.0000  0.0000  0.5000
N  0.0000  0.5000  0.0000
N  0.5000  0.0000  0.0000

Output
- uncorrected formation energy (kJ/mol of atoms) = 74.2
- size of the total moment (μB per atom) = 0.00
- total DFT energy (no corrections) (eV per atom) = -5.379


No. 2
# Zn3BiF

A relaxed Zn3BiF crystal (PBEsol, Alexandria via LeMat-Bulk).

Lattice parameters (Å, degrees): 4.5040 4.5040 4.5040 90.00 90.00 90.00
Fractional coordinates of all 5 atoms:
Zn  0.0000  0.5000  0.0000
Zn  0.0000  0.0000  0.5000
Zn  0.5000  0.0000  0.0000
Bi  0.5000  0.5000  0.5000
F  0.0000  0.0000  0.0000

Output
- uncorrected formation energy (kJ/mol of atoms) = -18.4
- size of the total moment (μB per atom) = 0.00
- total DFT energy (no corrections) (eV per atom) = -2.383


No. 3
# Sr3CuIrO6

A relaxed Sr3CuIrO6 crystal (PBEsol, Alexandria via LeMat-Bulk).

Lattice parameters (Å, degrees): 6.6546 6.6996 6.6996 91.90 90.75 90.75
Each line ends with the local moment (μB).
Fractional coordinates of all 22 atoms:
Sr  0.2500  0.3975  0.6025  0.00
Sr  0.7500  0.6025  0.3975  0.00
Sr  0.3794  0.2577  0.1094  0.00
Sr  0.1206  0.8906  0.7423  0.00
Sr  0.6206  0.7423  0.8906  0.00
Sr  0.8794  0.1094  0.2577  0.00
Cu  0.7500  0.1926  0.8074  0.40
Cu  0.2500  0.8074  0.1926  0.40
Ir  0.0000  0.5000  0.0000  0.49
Ir  0.5000  0.0000  0.5000  0.49
O  0.4629  0.1006  0.7840  0.09
O  0.0371  0.2160  0.8994  0.09
O  0.5371  0.8994  0.2160  0.09
O  0.9629  0.7840  0.1006  0.09
O  0.7828  0.9680  0.6044  0.09
O  0.7172  0.3956  0.0320  0.09
O  0.2172  0.0320  0.3956  0.09
O  0.2828  0.6044  0.9680  0.09
O  0.5730  0.2799  0.4309  0.07
O  0.9270  0.5691  0.7201  0.07
O  0.4270  0.7201  0.5691  0.07
O  0.0730  0.4309  0.2799  0.07

Output
- uncorrected formation energy (kJ/mol of atoms) = -185.3
- size of the total moment (μB per atom) = 0.14
- total DFT energy (no corrections) (eV per atom) = -6.573